1.
The following is a DFT calculation (PBE-GGA) of an optimized crystal structure of AcSmErTh.

a = 8.2435 Å, b = 8.2435 Å, c = 8.2435 Å
α = 90.00°, β = 90.00°, γ = 90.00°
Sites, in units of the cell vectors:
Ac  0.0000  0.0000  0.0000
Ac  0.0000  0.5000  0.5000
Ac  0.5000  0.0000  0.5000
Ac  0.5000  0.5000  0.0000
Sm  0.2500  0.2500  0.7500
Sm  0.2500  0.7500  0.2500
Sm  0.7500  0.2500  0.2500
Sm  0.7500  0.7500  0.7500
Er  0.2500  0.2500  0.2500
Er  0.2500  0.7500  0.7500
Er  0.7500  0.2500  0.7500
Er  0.7500  0.7500  0.2500
Th  0.0000  0.0000  0.5000
Th  0.0000  0.5000  0.0000
Th  0.5000  0.0000  0.0000
Th  0.5000  0.5000  0.5000

Values from the calculation:
- Space group: No. 216
- DFT total energy: -0.1854 hartree per atom
- V: 35.01 Å³ per atom
- Total magnetization: 0.000 μB per atom
- ΔH_f (0 K): 159 meV/atom



2.
The following is a DFT calculation (PBE-GGA) of an optimized crystal structure of SrNpO4.

a = 3.7384 Å, b = 3.7384 Å, c = 5.7963 Å
α = 90.00°, β = 90.00°, γ = 90.00°
Sites, in units of the cell vectors:
Sr  0.0000  0.0000  0.0000
Np  0.5000  0.5000  0.5000
O  0.0000  0.5000  0.2905
O  0.0000  0.5000  0.7095
O  0.5000  0.0000  0.2905
O  0.5000  0.0000  0.7095

Values from the calculation:
- Space group: No. 123
- DFT total energy: -0.3130 hartree per atom
- V: 13.50 Å³ per atom
- Total magnetization: 0.167 μB per atom
- E_form (uncorrected): -268 kJ per mole of atoms